Computed, not measured: a geometry-optimized InIrPb2 structure at the PBE level of DFT.

It has space group Pmm2 (No. 25), with a = 3.274 Å, b = 3.411 Å, c = 8.734 Å, α = 90.00°, β = 90.00° and γ = 90.00°. The inequivalent atoms are In at (0.000, 0.000, 0.000), Ir at (0.500, 0.500, 0.829), Pb at (0.000, 0.000, 0.616) and Pb at (0.500, 0.500, 0.279).

Its crystal system is orthorhombic. For the formation energy, the calculation gives 128 meV/atom.